Below is crystalline K2PuMnO6 at its relaxed geometry, with properties calculated at the PBE with a Hubbard U level.

Calculated values
For the energy, the calculation gives -7.4081 eV/atom. Its space-group type is I4/mmm. The magnetic moment comes out at 0.4988 μB/atom.

POSCAR file:
```
K2PuMnO6
1.0
-2.8471 2.8471 4.3771
2.8471 -2.8471 4.3771
2.8471 2.8471 -4.3771
K Pu Mn O
2 1 1 6
Cartesian
2.8471 0.0000 2.1886
0.0000 2.8471 2.1886
0.0000 0.0000 0.0000
0.0000 0.0000 4.3771
0.0000 0.0000 1.9174
1.4737 1.4737 0.0000
1.3734 -1.3734 4.3771
-1.3734 1.3734 4.3771
1.3734 1.3734 4.3771
0.0000 0.0000 6.8368
```